The following is a GGA-PBE calculation of crystalline Li6Te2N at its relaxed geometry, from the Alexandria database.

Uncorrected formation energy ... -653 meV per atom

Structure (CIF):
```
data_Li6Te2N
_space_group_name_H-M_alt 'P -3 m 1'
_space_group_IT_number 164
_space_group_name_Hall '-P 3 2"'
_cell_length_a 6.1742
_cell_length_b 6.1742
_cell_length_c 4.6182
_cell_angle_alpha 90.00
_cell_angle_beta 90.00
_cell_angle_gamma 120.00
loop_
_atom_site_label
_atom_site_fract_x
_atom_site_fract_y
_atom_site_fract_z
_atom_site_occupancy
Li1 0.1610 0.3219 0.2817 1
Te1 0.3333 0.6667 0.7806 1
N1 0.0000 0.0000 0.5000 1
```